No. 1
Below is an optimized crystal structure of Bi2Os2Cl, with properties calculated at the PBE level.

Geometry as POSCAR:
```
Bi2Os2Cl
1.0
8.0228 0.0000 0.0000
0.0000 8.0228 0.0000
0.0000 0.0000 3.2394
Bi Os Cl
4 4 2
Cartesian
1.2523 2.7591 0.0000
2.7591 6.7705 0.0000
5.2637 1.2523 0.0000
6.7705 5.2637 0.0000
1.0711 5.0825 1.6197
2.9403 1.0711 1.6197
5.0825 6.9517 1.6197
6.9517 2.9403 1.6197
0.0000 0.0000 1.6197
4.0114 4.0114 1.6197
```

Calculated values
Space-group type: P4/mbm (127)
Energy relative to the elements, uncorrected: 0.84 eV/atom

***

No. 2
Below is an optimized crystal structure of BiOs3Cl, with properties calculated at the PBE level.

Geometry as POSCAR:
```
BiOs3Cl
1.0
5.1109 0.0000 0.0000
0.0000 5.1109 0.0000
0.0000 0.0000 5.1109
Bi Os Cl
1 3 1
Cartesian
0.0000 0.0000 0.0000
0.0000 0.0000 2.5555
0.0000 2.5555 0.0000
2.5555 0.0000 0.0000
2.5555 2.5555 2.5555
```

Calculated values
Space-group type: Pm-3m (221)
Energy relative to the elements, uncorrected: 3.10 eV/atom

***

No. 3
Below is an optimized crystal structure of BiPOsCl2, with properties calculated at the PBE level.

Geometry as POSCAR:
```
BiPOsCl2
1.0
4.8659 0.0000 0.0000
0.0000 4.8659 0.0000
0.0000 0.0000 4.6152
Bi P Os Cl
1 1 1 2
Cartesian
0.0000 0.0000 0.0000
2.4330 2.4330 0.0000
2.4330 2.4330 2.3076
0.0000 2.4330 2.3076
2.4330 0.0000 2.3076
```

Calculated values
Space-group type: P4/mmm (123)
Energy relative to the elements, uncorrected: 0.43 eV/atom

***

No. 4
Below is an optimized crystal structure of BiPOsCl2, with properties calculated at the PBE level.

Geometry as POSCAR:
```
BiPOsCl2
1.0
5.2101 0.0000 0.0000
0.0000 5.2101 0.0000
0.0000 0.0000 5.7753
Bi P Os Cl
1 1 1 2
Cartesian
0.0000 0.0000 0.0000
0.0000 0.0000 2.8877
2.6051 2.6051 2.8877
0.0000 2.6051 0.0000
2.6051 0.0000 0.0000
```

Calculated values
Space-group type: P4/mmm (123)
Energy relative to the elements, uncorrected: 1.40 eV/atom

***

No. 5
Below is an optimized crystal structure of BiOsS2Cl, with properties calculated at the PBE level.

Geometry as POSCAR:
```
BiOsS2Cl
1.0
4.6639 0.0000 0.0000
0.0000 4.6639 0.0000
0.0000 0.0000 4.8014
Bi Os S Cl
1 1 2 1
Cartesian
0.0000 0.0000 0.0000
2.3320 2.3320 2.4007
0.0000 2.3320 2.4007
2.3320 0.0000 2.4007
2.3320 2.3320 0.0000
```

Calculated values
Space-group type: P4/mmm (123)
Energy relative to the elements, uncorrected: 0.30 eV/atom

***

No. 6
Below is an optimized crystal structure of BiOsSCl2, with properties calculated at the PBE level.

Geometry as POSCAR:
```
BiOsSCl2
1.0
5.4034 0.0000 0.0000
0.0000 5.4034 0.0000
0.0000 0.0000 5.4032
Bi Os S Cl
1 1 1 2
Cartesian
0.0000 0.0000 0.0000
2.7017 2.7017 2.7016
0.0000 0.0000 2.7016
0.0000 2.7017 0.0000
2.7017 0.0000 0.0000
```

Calculated values
Space-group type: P4/mmm (123)
Energy relative to the elements, uncorrected: 1.10 eV/atom

***

No. 7
Below is an optimized crystal structure of BiOsS2Cl, with properties calculated at the PBE level.

Geometry as POSCAR:
```
BiOsS2Cl
1.0
5.2941 0.0000 0.0000
0.0000 5.2941 0.0000
0.0000 0.0000 5.2601
Bi Os S Cl
1 1 2 1
Cartesian
0.0000 0.0000 0.0000
2.6470 2.6470 2.6300
0.0000 2.6470 0.0000
2.6470 0.0000 0.0000
0.0000 0.0000 2.6300
```

Calculated values
Space-group type: P4/mmm (123)
Energy relative to the elements, uncorrected: 1.43 eV/atom

***

No. 8
Below is an optimized crystal structure of BiOsSCl2, with properties calculated at the PBE level.

Geometry as POSCAR:
```
BiOsSCl2
1.0
4.8572 0.0000 0.0000
0.0000 4.8572 0.0000
0.0000 0.0000 4.5824
Bi Os S Cl
1 1 1 2
Cartesian
0.0000 0.0000 0.0000
2.4286 2.4286 2.2912
2.4286 2.4286 0.0000
0.0000 2.4286 2.2912
2.4286 0.0000 2.2912
```

Calculated values
Space-group type: P4/mmm (123)
Energy relative to the elements, uncorrected: 0.32 eV/atom

***

No. 9
Below is an optimized crystal structure of Bi2SbOsCl, with properties calculated at the PBE level.

Geometry as POSCAR:
```
Bi2SbOsCl
1.0
5.5203 0.0000 0.0000
0.0000 5.5203 0.0000
0.0000 0.0000 5.0186
Bi Sb Os Cl
2 1 1 1
Cartesian
0.0000 2.7602 0.0000
2.7602 0.0000 0.0000
0.0000 0.0000 2.5093
0.0000 0.0000 0.0000
2.7602 2.7602 2.5093
```

Calculated values
Space-group type: P4/mmm (123)
Energy relative to the elements, uncorrected: 0.49 eV/atom

***

No. 10
Below is an optimized crystal structure of Th3BiOsCl, with properties calculated at the PBE level.

Geometry as POSCAR:
```
Th3BiOsCl
1.0
7.8699 0.0000 0.0000
0.0000 4.2581 0.0000
-1.7758 0.0000 10.2787
Th Bi Os Cl
6 2 2 2
Cartesian
-0.4967 1.0645 3.6694
-0.0386 1.0645 9.4641
2.4679 3.1936 6.6113
3.6263 1.0645 3.6674
6.1327 3.1936 0.8146
6.5909 3.1936 6.6093
1.3641 3.1936 1.7935
4.7300 1.0645 8.4852
0.6931 1.0645 6.3118
5.4010 3.1936 3.9669
1.8670 3.1936 9.2856
4.2272 1.0645 0.9931
```

Calculated values
Space-group type: P2_1/m (11)
Energy relative to the elements, uncorrected: -0.69 eV/atom

***

No. 11
Below is an optimized crystal structure of BiOsW2Cl, with properties calculated at the PBE level.

Geometry as POSCAR:
```
BiOsW2Cl
1.0
4.3609 0.0000 0.0000
0.0000 4.3609 0.0000
0.0000 0.0000 5.2451
Bi Os W Cl
1 1 2 1
Cartesian
0.0000 0.0000 0.0000
2.1805 2.1805 0.0000
0.0000 2.1805 2.6225
2.1805 0.0000 2.6225
0.0000 0.0000 2.6225
```

Calculated values
Space-group type: P4/mmm (123)
Energy relative to the elements, uncorrected: 2.16 eV/atom

***

No. 12
Below is an optimized crystal structure of Zr2BiOsCl, with properties calculated at the PBE level.

Geometry as POSCAR:
```
Zr2BiOsCl
1.0
5.2024 0.0000 0.0000
0.0000 5.2024 0.0000
0.0000 0.0000 4.5673
Zr Bi Os Cl
2 1 1 1
Cartesian
0.0000 2.6012 0.0000
2.6012 0.0000 0.0000
0.0000 0.0000 2.2836
2.6012 2.6012 0.0000
2.6012 2.6012 2.2836
```

Calculated values
Space-group type: P4/mmm (123)
Energy relative to the elements, uncorrected: 0.30 eV/atom

***

no.,VASP energy (eV/atom),density of states at the Fermi level (states/eV per cell)
1,-5.57,7.71
2,-4.78,4.60
3,-4.42,4.08
4,-3.44,5.25
5,-4.74,4.65
6,-3.49,5.58
7,-3.61,7.48
8,-4.27,3.27
9,-4.50,7.96
10,-7.22,6.16
11,-6.42,6.50
12,-6.51,4.43